Entry 1:
Material: LiAc2AgTe4
Method: DFT, PBE
State: optimized geometry

Calculated values
- formation energy without anion corrections (eV per formula unit) = -9.0
- magnetization (μB per formula unit) = 0.00
- electronic total energy (eV for the cell shown) = -34.58

abc: 7.5717 4.6982 8.1914
angles: 90.00 111.88 90.00
With the nearest neighbours (Å) after each atom.
Space group P2/m (No. 10)
Symmetry-distinct sites (fractional):
1 Li 0.0000 0.0000 0.0000 x1  6 Te 3.13-3.19
2 Ac 0.5000 0.0000 0.5000 x1  6 Te 3.32-3.34
3 Ac 0.5000 0.5000 0.0000 x1  6 Te 3.32-3.33
4 Ag 0.0000 0.5000 0.5000 x1  6 Te 3.13-3.22
5 Te 0.2263 0.0000 0.7398 x2  2 Ag 3.13, 1 Li 3.19, 3 Ac 3.33-3.34
6 Te 0.2295 0.5000 0.2385 x2  2 Li 3.13, 1 Ag 3.22, 3 Ac 3.32

Entry 2:
Material: Li2AcTl4Ag
Method: DFT, PBE
State: optimized geometry

Calculated values
- calculated formation energy (kJ/mol of atoms) = -17.9
- magnetization (μB per formula unit) = 0.00
- electronic total energy (eV for the cell shown) = -65.21

abc: 4.8968 4.8968 29.6568
angles: 90.00 90.00 120.00
With the nearest neighbours (Å) after each atom.
Space group R-3m (No. 166, hexagonal axes)
Symmetry-distinct sites (fractional):
1 Li 0.0000 0.0000 0.2306 x6  7 Tl 2.90-3.14
2 Ac 0.0000 0.0000 0.0000 x3  8 Tl 3.41-3.69
3 Tl 0.0000 0.0000 0.1246 x6  4 Li 2.90-3.14, 3 Ag 3.09
4 Tl 0.0000 0.0000 0.3976 x6  1 Ag 3.04, 3 Li 3.05, 3 Tl 3.35
5 Ag 0.0000 0.0000 0.5000 x3  8 Tl 3.04-3.09

Entry 3:
Material: Li4AcTl2Ag
Method: DFT, PBE
State: optimized geometry

Calculated values
- calculated formation energy (kJ/mol of atoms) = -16.2
- magnetization (μB per formula unit) = 0.00
- electronic total energy (eV for the cell shown) = -62.07

abc: 4.9838 4.9838 25.1825
angles: 90.00 90.00 120.00
With the nearest neighbours (Å) after each atom.
Space group R-3m (No. 166, hexagonal axes)
Symmetry-distinct sites (fractional):
1 Li 0.0000 0.0000 0.0996 x6  1 Ag 2.51
2 Li 0.0000 0.0000 0.3605 x6  1 Tl 2.90, 3 Ag 2.96, 3 Li 3.19
3 Ac 0.0000 0.0000 0.5000 x3  8 Li 3.34-3.51, 6 Tl 3.50
4 Tl 0.0000 0.0000 0.2455 x6  4 Li 2.89-2.90
5 Ag 0.0000 0.0000 0.0000 x3  2 Li 2.51

Entry 4:
Material: LiAcTlAg3
Method: DFT, PBE
State: optimized geometry

Calculated values
- calculated formation energy (kJ/mol of atoms) = -12.1
- magnetization (μB per formula unit) = 0.00
- electronic total energy (eV for the cell shown) = -70.78

abc: 6.1314 13.6256 6.7941
angles: 90.00 90.00 90.00
With the nearest neighbours (Å) after each atom.
Space group Cmcm (No. 63)
Symmetry-distinct sites (fractional):
1 Li 0.0000 0.0775 0.2500 x4  5 Ag 2.58-2.81
2 Ac 0.0000 0.3078 0.2500 x4  1 Li 3.14, 6 Ag 3.19-3.44, 2 Tl 3.45
3 Tl 0.0000 0.3500 0.7500 x4  5 Ag 3.01-3.02, 2 Li 3.22
4 Ag 0.0000 0.1288 0.7500 x4  1 Li 2.81, 4 Ag 2.93, 1 Tl 3.01
5 Ag 0.2349 0.5000 0.0000 x8  2 Li 2.58, 1 Ag 2.88

Entry 5:
Material: Li2Ac3Tl4Ag2
Method: DFT, PBE
State: optimized geometry

Calculated values
- calculated formation energy (kJ/mol of atoms) = -21.1
- magnetization (μB per formula unit) = 0.00
- electronic total energy (eV for the cell shown) = -33.72

abc: 5.0820 5.0820 13.9464
angles: 90.00 90.00 120.00
With the nearest neighbours (Å) after each atom.
Space group P-3m1 (No. 164)
Symmetry-distinct sites (fractional):
1 Li 0.3333 0.6667 0.1158 x2  1 Tl 2.65
2 Ac 0.0000 0.0000 0.2143 x2  3 Li 3.24, 6 Tl 3.44-3.53, 3 Ag 3.58
3 Ac 0.0000 0.0000 0.5000 x1  6 Ag 3.52, 6 Tl 3.66
4 Tl 0.3333 0.6667 0.3436 x2  3 Ag 2.94, 1 Li 3.18
5 Tl 0.3333 0.6667 0.9261 x2  1 Li 2.65
6 Ag 0.3333 0.6667 0.6392 x2  3 Tl 2.94

Entry 6:
Material: LiAc2Tl6Ag
Method: DFT, PBE
State: optimized geometry

Calculated values
- calculated formation energy (kJ/mol of atoms) = -16.0
- magnetization (μB per formula unit) = 0.00
- electronic total energy (eV for the cell shown) = -173.04

abc: 7.3397 7.3397 37.2856
angles: 90.00 90.00 120.00
With the nearest neighbours (Å) after each atom.
Space group R-3m (No. 166, hexagonal axes)
Symmetry-distinct sites (fractional):
1 Li 0.0000 0.0000 0.0000 x3  6 Tl 2.64
2 Li 0.0000 0.0000 0.5000 x3  6 Tl 2.73, 2 Ag 2.76
3 Ac 0.0000 0.0000 0.1126 x6  12 Tl 3.63-3.76
4 Ac 0.0000 0.0000 0.2853 x6  12 Tl 3.65-3.71
5 Tl 0.0226 0.5113 0.2971 x18  1 Li 2.64, 1 Ag 2.89
6 Tl 0.0481 0.5241 0.8671 x18  1 Li 2.73, 1 Ag 2.85
7 Ag 0.0000 0.0000 0.4261 x6  1 Li 2.76, 6 Tl 2.85-2.89

What is the formula in the first record? LiAc2AgTe4

Number 2 is which compound? Li2AcTl4Ag